# ZrTcS2N | the Alexandria database | GGA-PBE | optimized geometry
data_ZrTcS2N
_chemical_formula_sum 'Zr1 Tc1 S2 N1'
_cell_length_a 5.061
_cell_length_b 5.061
_cell_length_c 4.070
_cell_angle_alpha 90.00
_cell_angle_beta 90.00
_cell_angle_gamma 90.00
_symmetry_space_group_name_H-M 'P 1'
_symmetry_Int_Tables_number 1
loop_
_symmetry_equiv_pos_as_xyz
'x,y,z'
loop_
_atom_site_label
_atom_site_type_symbol
_atom_site_fract_x
_atom_site_fract_y
_atom_site_fract_z
_atom_site_occupancy
Zr1 Zr 0.000 0.000 0.000 1
Tc1 Tc 0.500 0.500 0.500 1
S1 S 0.000 0.500 0.000 1
S2 S 0.500 0.000 0.000 1
N1 N 0.000 0.000 0.500 1
# raw formation energy: 425 meV/atom
# calculated volume: 104 Å³/f.u.
# offset from the most stable computed form: 2.60 eV per formula unit